## K2CoTc (PBE)

Data for a geometry-optimized K2CoTc structure.

```
K2CoTc
1.0
-3.438 3.679 -2.735
-2.170 -1.262 1.031
-0.426 2.914 4.455
Co K Tc
1 2 1
direct
0.500 0.750 0.750
0.000 0.957 0.995
0.000 0.543 0.505
0.500 0.250 0.250
```

Properties
E_form, eV/atom: 1.390
Total moment, Bohr magnetons per cell: 2.5
ΔE to the lowest computed polymorph, meV per atom: 621